1.
Below is FeRh2W at its PBEsol-relaxed geometry, with properties calculated at the SCAN level.

a = 2.676 Å, b = 4.613 Å, c = 4.602 Å
α = 99.58°, β = 90.00°, γ = 106.86°
Each line ends with the local moment (μB).
Positions (direct):
Rh (0.247, 0.494, 0.244)  0.12
Rh (0.753, 0.506, 0.756)  0.12
Fe (0.500, 0.000, 0.000)  2.81
W (0.000, 0.000, 0.500)  -0.27

Values from the calculation:
Energy relative to the lowest polymorph listed for this composition ... 67 kJ/mol of formula units
Calculated formation energy ... -0.045 eV per atom

2.
Below is Ir2PbCl at its PBEsol-relaxed geometry, with properties calculated at the SCAN level.

a = 2.895 Å, b = 5.241 Å, c = 5.782 Å
α = 116.95°, β = 104.50°, γ = 90.00°
Each line ends with the local moment (μB).
Positions (direct):
Cl (0.301, 0.801, 0.601)  0.02
Ir (0.005, 0.005, 0.010)  0.17
Ir (0.715, 0.215, 0.431)  0.40
Pb (0.479, 0.479, 0.958)  0.00

Values from the calculation:
Energy relative to the lowest polymorph listed for this composition ... 0 kJ/mol of formula units

3.
Below is TaCuSi2 at its PBEsol-relaxed geometry, with properties calculated at the SCAN level.

a = 4.319 Å, b = 4.319 Å, c = 4.319 Å
α = 60.00°, β = 60.00°, γ = 60.00°
Positions (direct):
Si (0.750, 0.750, 0.750)
Si (0.000, 0.000, 0.000)
Ta (0.250, 0.250, 0.250)
Cu (0.500, 0.500, 0.500)

Values from the calculation:
E_tot ... -25.0112 eV/atom

4.
Below is Na2LaCuTe at its PBEsol-relaxed geometry, with properties calculated at the SCAN level.

a = 4.998 Å, b = 4.998 Å, c = 5.620 Å
α = 90.00°, β = 90.00°, γ = 90.00°
Positions (direct):
Na (0.500, 0.000, 0.000)
Te (0.500, 0.500, 0.500)
Cu (0.000, 0.000, 0.000)
Na (0.000, 0.500, 0.000)
La (0.000, 0.000, 0.500)

Values from the calculation:
E_tot ... -21.0613 eV/atom

5.
Below is ZrHgAu2 at its PBEsol-relaxed geometry, with properties calculated at the SCAN level.

a = 3.124 Å, b = 3.124 Å, c = 7.777 Å
α = 90.00°, β = 90.00°, γ = 90.00°
Positions (direct):
Hg (0.500, 0.500, 0.000)
Au (0.000, 0.000, 0.257)
Au (0.000, 0.000, 0.743)
Zr (0.500, 0.500, 0.500)

Values from the calculation:
Calculated formation energy ... -0.434 eV per atom

6.
Below is RbMnZn2I at its PBEsol-relaxed geometry, with properties calculated at the SCAN level.

a = 5.116 Å, b = 6.495 Å, c = 6.495 Å
α = 90.00°, β = 90.00°, γ = 90.00°
Each line ends with the local moment (μB).
Positions (direct):
I (0.000, 0.000, 0.000)  0.00
Zn (0.000, 0.000, 0.500)  0.00
Rb (0.500, 0.500, 0.500)  -0.01
Zn (0.000, 0.500, 0.000)  0.00
Mn (0.500, 0.000, 0.000)  4.24

Values from the calculation:
E_tot ... -19.9411 eV/atom

7.
Below is CeCo4Cu at its PBEsol-relaxed geometry, with properties calculated at the SCAN level.

a = 3.951 Å, b = 4.825 Å, c = 4.825 Å
α = 120.00°, β = 90.00°, γ = 90.00°
Each line ends with the local moment (μB).
Positions (direct):
Cu (0.000, 0.667, 0.333)  0.01
Co (0.500, 0.002, 0.501)  1.58
Co (0.500, 0.499, 0.501)  1.58
Co (0.500, 0.499, 0.998)  1.58
Ce (0.000, 0.000, 0.000)  -0.97
Co (0.000, 0.333, 0.667)  1.30

Values from the calculation:
Calculated formation energy ... -0.007 eV per atom

8.
Below is FePtSe2 at its PBEsol-relaxed geometry, with properties calculated at the SCAN level.

a = 3.565 Å, b = 3.565 Å, c = 5.943 Å
α = 107.39°, β = 107.45°, γ = 90.00°
Each line ends with the local moment (μB).
Positions (direct):
Fe (0.497, 0.497, 0.994)  3.27
Se (0.728, 0.728, 0.456)  -0.01
Se (0.014, 0.014, 0.028)  0.04
Pt (0.261, 0.261, 0.521)  -0.01

Values from the calculation:
Energy relative to the lowest polymorph listed for this composition ... 0 kJ/mol of formula units